DFT (PBE+U) results for crystalline PuCrAgO6 at its relaxed geometry.

Cell and atoms, written as POSCAR:
```
PuCrAgO6
1.0
-0.319 -4.458 2.883
4.663 1.497 -2.076
1.941 5.021 7.978
O Cr Pu Ag
12 2 2 2
Direct
0.361 0.996 0.139 O
0.996 0.361 0.639 O
0.366 0.004 0.639 O
0.004 0.366 0.139 O
0.361 0.366 0.361 O
0.639 0.634 0.639 O
0.996 0.634 0.861 O
0.634 0.996 0.361 O
0.366 0.361 0.861 O
0.634 0.639 0.139 O
0.639 0.004 0.861 O
0.004 0.639 0.361 O
0.333 0.667 0.250 Cr
0.667 0.333 0.750 Cr
0.333 0.667 0.750 Pu
0.667 0.333 0.250 Pu
0.000 0.000 0.000 Ag
0.000 0.000 0.500 Ag
```

Calculated total energy = -138.40 eV per cell